This record from Alexandria describes YSc4P after structural relaxation. The functional is GGA-PBE.

Computed properties:
- DFT total energy: -5.9177 eV per atom

abc: 5.9553 5.9553 5.9553
angles: 60.00 60.00 60.00
Fractional coordinates of all 6 atoms:
Y 0.7500 0.7500 0.7500
Sc 0.8720 0.3760 0.3760
Sc 0.3760 0.3760 0.8720
Sc 0.3760 0.8720 0.3760
Sc 0.3760 0.3760 0.3760
P 0.0000 0.0000 0.0000

---

This record from Alexandria describes YScP2 after structural relaxation. The functional is GGA-PBE.

Computed properties:
- DFT total energy: -7.4448 eV per atom

abc: 6.7129 6.7129 6.7129
angles: 33.71 33.71 33.71
Fractional coordinates of all 4 atoms:
Y 0.7500 0.7500 0.7500
Sc 0.2500 0.2500 0.2500
P 0.9946 0.9946 0.9946
P 0.5054 0.5054 0.5054

---

This record from Alexandria describes YScP2 after structural relaxation. The functional is GGA-PBE.

Computed properties:
- DFT total energy: -6.1223 eV per atom

abc: 4.7283 4.7283 4.7283
angles: 60.00 60.00 60.00
Fractional coordinates of all 4 atoms:
P 0.0000 0.0000 0.0000
P 0.7500 0.7500 0.7500
Sc 0.5000 0.5000 0.5000
Y 0.2500 0.2500 0.2500

---

This record from Alexandria describes YSc3P after structural relaxation. The functional is GGA-PBE.

Computed properties:
- DFT total energy: -5.0059 eV per atom

abc: 5.1280 5.1280 5.1280
angles: 90.00 90.00 90.00
Fractional coordinates of all 5 atoms:
Y 0.0000 0.0000 0.0000
Sc 0.0000 0.5000 0.0000
Sc 0.0000 0.0000 0.5000
Sc 0.5000 0.0000 0.0000
P 0.5000 0.5000 0.5000

---

| no. | formation enthalpy at 0 K (eV per atom) | mass density (g cm⁻³) |
| --- | --- | --- |
| 1 | 0.2823 | 3.332 |
| 2 | -1.5410 | 3.917 |
| 3 | -0.2185 | 4.350 |
| 4 | 1.1679 | 3.137 |